No. 1
The following is a DFT calculation (PBE) of a relaxed YSb2TeO crystal.

a = 5.8033 Å, b = 5.8033 Å, c = 5.6570 Å
α = 90.00°, β = 90.00°, γ = 90.00°
Closest atoms and distances in Å follow each position.
Fractional coordinates of all 5 atoms:
Sb 0.0000 0.5000 0.0000  2 Y 2.90
Sb 0.5000 0.0000 0.0000  2 Y 2.90
Y 0.0000 0.0000 0.0000  2 Te 2.83, 4 Sb 2.90
Te 0.0000 0.0000 0.5000  2 Y 2.83
O 0.5000 0.5000 0.5000  8 Sb 4.05, 4 Te 4.10

energy relative to the lowest polymorph listed for this composition: 1.3154 eV/atom
crystal system: tetragonal
E: -3.805 eV/atom
space group: P4/mmm (123)


No. 2
The following is a DFT calculation (PBE) of a relaxed ZnSbTe2O crystal.

a = 5.1691 Å, b = 5.1691 Å, c = 5.2502 Å
α = 90.00°, β = 90.00°, γ = 90.00°
Closest atoms and distances in Å follow each position.
Fractional coordinates of all 5 atoms:
Sb 0.0000 0.0000 0.5000  2 Zn 2.63
Te 0.5000 0.0000 0.0000  2 Zn 2.58
Te 0.0000 0.5000 0.0000  2 Zn 2.58
Zn 0.0000 0.0000 0.0000  4 Te 2.58, 2 Sb 2.63
O 0.5000 0.5000 0.5000  4 Sb 3.66, 8 Te 3.68

energy relative to the lowest polymorph listed for this composition: 0.7348 eV/atom
crystal system: tetragonal
E: -2.387 eV/atom
space group: P4/mmm (123)


No. 3
The following is a DFT calculation (PBE) of a relaxed ZnSbTe2O crystal.

a = 4.8423 Å, b = 4.8423 Å, c = 4.8432 Å
α = 90.00°, β = 90.00°, γ = 90.00°
Closest atoms and distances in Å follow each position.
Fractional coordinates of all 5 atoms:
Sb 0.0000 0.0000 0.5000  2 O 2.42
O 0.0000 0.0000 0.0000  4 Te 2.42, 2 Sb 2.42
Te 0.5000 0.0000 0.0000  2 O 2.42
Te 0.0000 0.5000 0.0000  2 O 2.42
Zn 0.5000 0.5000 0.5000  4 Sb 3.42, 8 Te 3.42

energy relative to the lowest polymorph listed for this composition: 0.0000 eV/atom
crystal system: tetragonal
E: -3.122 eV/atom
space group: P4/mmm (123)


No. 4
The following is a DFT calculation (PBE) of a relaxed Th2SbO crystal.

a = 3.9316 Å, b = 3.9316 Å, c = 7.4502 Å
α = 74.70°, β = 74.70°, γ = 60.00°
Closest atoms and distances in Å follow each position.
Fractional coordinates of all 4 atoms:
Th 0.7303 0.7303 0.8090  3 O 2.64
Th 0.2697 0.2697 0.1910  3 O 2.64
O 0.0000 0.0000 0.0000  6 Th 2.64
Sb 0.5000 0.5000 0.5000  6 Th 3.16

crystal system: trigonal
E: -7.581 eV/atom
space group: R-3m (166)


The evaluated N(E_F) for the records listed, in turn: 13.97, 9.91, 3.59, 2.75 states/eV/cell.
The evaluated formation energy (no corrections) for the records listed, in turn: 0.757, 0.940, 0.206, -1.601 eV per atom.
The evaluated total moment for the records listed, in turn: 0.00, 0.00, 0.00, 0.00 μB per formula unit.